# Zr2Fe2Cl, single point on PBEsol structure, DFT SCAN
# energy = -21.280 eV per atom
# ΔE_f (raw) = -0.15 eV per atom
# magnetization = 2.61 μB/f.u.
data_Zr2Fe2Cl
_cell_length_a 3.315
_cell_length_b 3.315
_cell_length_c 7.930
_cell_angle_alpha 102.06
_cell_angle_beta 102.06
_cell_angle_gamma 90.00
_space_group_name_H-M_alt 'P 1'
_space_group_IT_number 1
loop_
_space_group_symop_operation_xyz
'x,y,z'
loop_
_atom_site_label
_atom_site_fract_x
_atom_site_fract_y
_atom_site_fract_z
Cl1 0.000 0.000 0.000
Fe1 0.250 0.750 0.500
Fe2 0.750 0.250 0.500
Zr1 0.619 0.619 0.238
Zr2 0.381 0.381 0.762


# ZrFeCl2, single point on PBEsol structure, DFT SCAN
# energy = -16.647 eV per atom
# ΔE_f (raw) = -0.45 eV per atom
# magnetization = 2.75 μB/f.u.
data_ZrFeCl2
_cell_length_a 3.169
_cell_length_b 3.169
_cell_length_c 8.457
_cell_angle_alpha 79.20
_cell_angle_beta 79.20
_cell_angle_gamma 60.00
_space_group_name_H-M_alt 'P 1'
_space_group_IT_number 1
loop_
_space_group_symop_operation_xyz
'x,y,z'
loop_
_atom_site_label
_atom_site_fract_x
_atom_site_fract_y
_atom_site_fract_z
Fe1 0.500 0.500 0.500
Zr1 0.000 0.000 0.000
Cl1 0.897 0.897 0.309
Cl2 0.103 0.103 0.691


# ZrFeCl2, single point on PBEsol structure, DFT SCAN
# energy = -16.440 eV per atom
# ΔE_f (raw) = -0.24 eV per atom
# magnetization = 3.04 μB/f.u.
data_ZrFeCl2
_cell_length_a 3.237
_cell_length_b 3.237
_cell_length_c 5.906
_cell_angle_alpha 90.00
_cell_angle_beta 90.00
_cell_angle_gamma 90.00
_space_group_name_H-M_alt 'P 1'
_space_group_IT_number 1
loop_
_space_group_symop_operation_xyz
'x,y,z'
loop_
_atom_site_label
_atom_site_fract_x
_atom_site_fract_y
_atom_site_fract_z
Fe1 0.500 0.500 0.000
Zr1 0.500 0.500 0.500
Cl1 0.000 0.000 0.746
Cl2 0.000 0.000 0.254


# Ga3Cl7, single point on PBEsol structure, DFT SCAN
# energy = -11.622 eV per atom
# ΔE_f (raw) = -1.13 eV per atom
# magnetization = 0.00 μB/f.u.
data_Ga3Cl7
_cell_length_a 8.635
_cell_length_b 10.828
_cell_length_c 11.993
_cell_angle_alpha 90.00
_cell_angle_beta 90.00
_cell_angle_gamma 90.00
_space_group_name_H-M_alt 'P 1'
_space_group_IT_number 1
loop_
_space_group_symop_operation_xyz
'x,y,z'
loop_
_atom_site_label
_atom_site_fract_x
_atom_site_fract_y
_atom_site_fract_z
Ga1 0.892 0.178 0.406
Ga2 0.066 0.996 0.673
Ga3 0.434 0.996 0.173
Ga4 0.620 0.754 0.627
Ga5 0.934 0.496 0.327
Ga6 0.380 0.254 0.373
Ga7 0.880 0.754 0.127
Ga8 0.566 0.496 0.827
Ga9 0.392 0.678 0.094
Ga10 0.108 0.678 0.594
Ga11 0.608 0.178 0.906
Ga12 0.120 0.254 0.873
Cl1 0.971 0.346 0.212
Cl2 0.130 0.616 0.357
Cl3 0.191 0.296 0.486
Cl4 0.749 0.621 0.748
Cl5 0.036 0.404 0.776
Cl6 0.824 0.426 0.477
Cl7 0.676 0.426 0.977
Cl8 0.055 0.641 0.047
Cl9 0.809 0.796 0.514
Cl10 0.464 0.404 0.276
Cl11 0.751 0.621 0.248
Cl12 0.555 0.141 0.453
Cl13 0.536 0.904 0.724
Cl14 0.029 0.846 0.788
Cl15 0.370 0.616 0.857
Cl16 0.691 0.796 0.014
Cl17 0.251 0.121 0.252
Cl18 0.964 0.904 0.224
Cl19 0.324 0.926 0.023
Cl20 0.945 0.141 0.953
Cl21 0.870 0.116 0.643
Cl22 0.630 0.116 0.143
Cl23 0.249 0.121 0.752
Cl24 0.471 0.846 0.288
Cl25 0.176 0.926 0.523
Cl26 0.445 0.641 0.547
Cl27 0.309 0.296 0.986
Cl28 0.529 0.346 0.712


# GaCl2, single point on PBEsol structure, DFT SCAN
# energy = -11.854 eV per atom
# ΔE_f (raw) = -1.09 eV per atom
# magnetization = 0.00 μB/f.u.
data_GaCl2
_cell_length_a 7.069
_cell_length_b 9.419
_cell_length_c 9.447
_cell_angle_alpha 90.00
_cell_angle_beta 90.00
_cell_angle_gamma 90.00
_space_group_name_H-M_alt 'P 1'
_space_group_IT_number 1
loop_
_space_group_symop_operation_xyz
'x,y,z'
loop_
_atom_site_label
_atom_site_fract_x
_atom_site_fract_y
_atom_site_fract_z
Ga1 0.750 0.000 0.819
Ga2 0.250 0.500 0.319
Ga3 0.840 0.750 0.250
Ga4 0.160 0.250 0.750
Ga5 0.250 0.000 0.181
Ga6 0.660 0.250 0.250
Ga7 0.750 0.500 0.681
Ga8 0.340 0.750 0.750
Cl1 0.333 0.317 0.448
Cl2 0.498 0.543 0.187
Cl3 0.667 0.683 0.552
Cl4 0.333 0.183 0.052
Cl5 0.002 0.043 0.313
Cl6 0.667 0.817 0.948
Cl7 0.833 0.317 0.552
Cl8 0.998 0.543 0.813
Cl9 0.167 0.683 0.448
Cl10 0.002 0.457 0.187
Cl11 0.498 0.957 0.313
Cl12 0.833 0.183 0.948
Cl13 0.167 0.817 0.052
Cl14 0.998 0.957 0.687
Cl15 0.502 0.457 0.813
Cl16 0.502 0.043 0.687


# Ga2Ge2Cl, single point on PBEsol structure, DFT SCAN
# energy = -15.769 eV per atom
# ΔE_f (raw) = 0.00 eV per atom
# magnetization = 0.00 μB/f.u.
data_Ga2Ge2Cl
_cell_length_a 4.460
_cell_length_b 4.460
_cell_length_c 5.936
_cell_angle_alpha 112.07
_cell_angle_beta 112.07
_cell_angle_gamma 90.00
_space_group_name_H-M_alt 'P 1'
_space_group_IT_number 1
loop_
_space_group_symop_operation_xyz
'x,y,z'
loop_
_atom_site_label
_atom_site_fract_x
_atom_site_fract_y
_atom_site_fract_z
Ge1 0.379 0.379 0.758
Ge2 0.621 0.621 0.242
Ga1 0.250 0.750 0.500
Ga2 0.750 0.250 0.500
Cl1 0.000 0.000 0.000


# GaGeCl2, single point on PBEsol structure, DFT SCAN
# energy = -12.957 eV per atom
# ΔE_f (raw) = -0.11 eV per atom
# magnetization = 0.00 μB/f.u.
data_GaGeCl2
_cell_length_a 4.846
_cell_length_b 4.846
_cell_length_c 4.846
_cell_angle_alpha 60.00
_cell_angle_beta 60.00
_cell_angle_gamma 60.00
_space_group_name_H-M_alt 'P 1'
_space_group_IT_number 1
loop_
_space_group_symop_operation_xyz
'x,y,z'
loop_
_atom_site_label
_atom_site_fract_x
_atom_site_fract_y
_atom_site_fract_z
Ge1 0.500 0.500 0.500
Ga1 0.000 0.000 0.000
Cl1 0.250 0.250 0.250
Cl2 0.750 0.750 0.750


# GaGeSCl2, single point on PBEsol structure, DFT SCAN
# energy = -12.385 eV per atom
# ΔE_f (raw) = -0.18 eV per atom
# magnetization = 0.00 μB/f.u.
data_GaGeSCl2
_cell_length_a 4.714
_cell_length_b 4.714
_cell_length_c 4.761
_cell_angle_alpha 90.00
_cell_angle_beta 90.00
_cell_angle_gamma 90.00
_space_group_name_H-M_alt 'P 1'
_space_group_IT_number 1
loop_
_space_group_symop_operation_xyz
'x,y,z'
loop_
_atom_site_label
_atom_site_fract_x
_atom_site_fract_y
_atom_site_fract_z
Ge1 0.500 0.500 0.500
S1 0.000 0.000 0.500
Ga1 0.000 0.000 0.000
Cl1 0.000 0.500 0.000
Cl2 0.500 0.000 0.000


# GaHCl2, single point on PBEsol structure, DFT SCAN
# energy = -9.458 eV per atom
# magnetization = 0.00 μB/f.u.
data_GaHCl2
_cell_length_a 4.522
_cell_length_b 4.522
_cell_length_c 6.555
_cell_angle_alpha 69.82
_cell_angle_beta 69.82
_cell_angle_gamma 60.00
_space_group_name_H-M_alt 'P 1'
_space_group_IT_number 1
loop_
_space_group_symop_operation_xyz
'x,y,z'
loop_
_atom_site_label
_atom_site_fract_x
_atom_site_fract_y
_atom_site_fract_z
H1 0.000 0.000 0.000
Ga1 0.500 0.500 0.500
Cl1 0.914 0.914 0.259
Cl2 0.086 0.086 0.741


# GaHCl2, single point on PBEsol structure, DFT SCAN
# energy = -9.747 eV per atom
# magnetization = 0.00 μB/f.u.
data_GaHCl2
_cell_length_a 6.211
_cell_length_b 6.615
_cell_length_c 9.812
_cell_angle_alpha 88.85
_cell_angle_beta 87.56
_cell_angle_gamma 62.00
_space_group_name_H-M_alt 'P 1'
_space_group_IT_number 1
loop_
_space_group_symop_operation_xyz
'x,y,z'
loop_
_atom_site_label
_atom_site_fract_x
_atom_site_fract_y
_atom_site_fract_z
Ga1 0.325 0.744 0.422
Ga2 0.931 0.744 0.078
Ga3 0.675 0.256 0.578
Ga4 0.069 0.256 0.922
H1 0.428 0.897 0.361
H2 0.675 0.897 0.139
H3 0.572 0.103 0.639
H4 0.325 0.103 0.861
Cl1 0.960 0.783 0.414
Cl2 0.257 0.783 0.086
Cl3 0.040 0.217 0.586
Cl4 0.743 0.217 0.914
Cl5 0.435 0.638 0.645
Cl6 0.927 0.638 0.855
Cl7 0.565 0.362 0.355
Cl8 0.073 0.362 0.145


# HfGaH2Cl, single point on PBEsol structure, DFT SCAN
# energy = -18.111 eV per atom
# magnetization = 0.00 μB/f.u.
data_HfGaH2Cl
_cell_length_a 3.778
_cell_length_b 3.778
_cell_length_c 5.088
_cell_angle_alpha 90.00
_cell_angle_beta 90.00
_cell_angle_gamma 90.00
_space_group_name_H-M_alt 'P 1'
_space_group_IT_number 1
loop_
_space_group_symop_operation_xyz
'x,y,z'
loop_
_atom_site_label
_atom_site_fract_x
_atom_site_fract_y
_atom_site_fract_z
H1 0.000 0.500 0.000
H2 0.500 0.000 0.000
Hf1 0.000 0.000 0.500
Ga1 0.500 0.500 0.500
Cl1 0.000 0.000 0.000


# GaH15N5Cl3, single point on PBEsol structure, DFT SCAN
# energy = -6.408 eV per atom
# magnetization = 0.00 μB/f.u.
data_GaH15N5Cl3
_cell_length_a 6.480
_cell_length_b 10.583
_cell_length_c 13.264
_cell_angle_alpha 90.00
_cell_angle_beta 90.00
_cell_angle_gamma 90.00
_space_group_name_H-M_alt 'P 1'
_space_group_IT_number 1
loop_
_space_group_symop_operation_xyz
'x,y,z'
loop_
_atom_site_label
_atom_site_fract_x
_atom_site_fract_y
_atom_site_fract_z
Ga1 0.204 0.250 0.097
Ga2 0.296 0.250 0.597
Ga3 0.796 0.750 0.903
Ga4 0.704 0.750 0.403
H1 0.017 0.250 0.273
H2 0.483 0.250 0.773
H3 0.983 0.750 0.727
H4 0.517 0.750 0.227
H5 0.875 0.330 0.190
H6 0.625 0.170 0.690
H7 0.125 0.830 0.810
H8 0.375 0.670 0.310
H9 0.125 0.670 0.810
H10 0.375 0.830 0.310
H11 0.875 0.170 0.190
H12 0.625 0.330 0.690
H13 0.579 0.250 0.002
H14 0.921 0.250 0.502
H15 0.421 0.750 0.998
H16 0.079 0.750 0.498
H17 0.398 0.329 0.938
H18 0.102 0.171 0.438
H19 0.602 0.829 0.062
H20 0.898 0.671 0.562
H21 0.602 0.671 0.062
H22 0.898 0.829 0.562
H23 0.398 0.171 0.938
H24 0.102 0.329 0.438
H25 0.386 0.250 0.281
H26 0.114 0.250 0.781
H27 0.614 0.750 0.719
H28 0.886 0.750 0.219
H29 0.523 0.330 0.197
H30 0.977 0.170 0.697
H31 0.477 0.830 0.803
H32 0.023 0.670 0.303
H33 0.477 0.670 0.803
H34 0.023 0.830 0.303
H35 0.523 0.170 0.197
H36 0.977 0.330 0.697
H37 0.214 0.476 0.017
H38 0.286 0.024 0.517
H39 0.786 0.976 0.983
H40 0.714 0.524 0.483
H41 0.786 0.524 0.983
H42 0.714 0.976 0.483
H43 0.214 0.024 0.017
H44 0.286 0.476 0.517
H45 0.063 0.483 0.118
H46 0.437 0.017 0.618
H47 0.937 0.983 0.882
H48 0.563 0.517 0.382
H49 0.937 0.517 0.882
H50 0.563 0.983 0.382
H51 0.063 0.017 0.118
H52 0.437 0.483 0.618
H53 0.320 0.484 0.131
H54 0.180 0.016 0.631
H55 0.680 0.984 0.869
H56 0.820 0.516 0.369
H57 0.680 0.516 0.869
H58 0.820 0.984 0.369
H59 0.320 0.016 0.131
H60 0.180 0.484 0.631
N1 0.966 0.250 0.200
N2 0.534 0.250 0.700
N3 0.034 0.750 0.800
N4 0.466 0.750 0.300
N5 0.424 0.250 0.983
N6 0.076 0.250 0.483
N7 0.576 0.750 0.017
N8 0.924 0.750 0.517
N9 0.431 0.250 0.206
N10 0.069 0.250 0.706
N11 0.569 0.750 0.794
N12 0.931 0.750 0.294
N13 0.199 0.445 0.091
N14 0.301 0.055 0.591
N15 0.801 0.945 0.909
N16 0.699 0.555 0.409
N17 0.801 0.555 0.909
N18 0.699 0.945 0.409
N19 0.199 0.055 0.091
N20 0.301 0.445 0.591
Cl1 0.942 0.250 0.965
Cl2 0.558 0.250 0.465
Cl3 0.058 0.750 0.035
Cl4 0.442 0.750 0.535
Cl5 0.193 0.494 0.345
Cl6 0.307 0.006 0.845
Cl7 0.807 0.994 0.655
Cl8 0.693 0.506 0.155
Cl9 0.807 0.506 0.655
Cl10 0.693 0.994 0.155
Cl11 0.193 0.006 0.345
Cl12 0.307 0.494 0.845


# HfGa2Cl, single point on PBEsol structure, DFT SCAN
# energy = -25.569 eV per atom
# ΔE_f (raw) = 0.27 eV per atom
# magnetization = 0.00 μB/f.u.
data_HfGa2Cl
_cell_length_a 4.798
_cell_length_b 4.798
_cell_length_c 4.798
_cell_angle_alpha 60.00
_cell_angle_beta 60.00
_cell_angle_gamma 60.00
_space_group_name_H-M_alt 'P 1'
_space_group_IT_number 1
loop_
_space_group_symop_operation_xyz
'x,y,z'
loop_
_atom_site_label
_atom_site_fract_x
_atom_site_fract_y
_atom_site_fract_z
Hf1 0.500 0.500 0.500
Ga1 0.250 0.250 0.250
Ga2 0.750 0.750 0.750
Cl1 0.000 0.000 0.000


# Ga2Hg3Cl8, single point on PBEsol structure, DFT SCAN
# energy = -24.129 eV per atom
# ΔE_f (raw) = -0.97 eV per atom
# magnetization = 0.00 μB/f.u.
data_Ga2Hg3Cl8
_cell_length_a 7.104
_cell_length_b 14.218
_cell_length_c 15.006
_cell_angle_alpha 90.00
_cell_angle_beta 90.00
_cell_angle_gamma 98.82
_space_group_name_H-M_alt 'P 1'
_space_group_IT_number 1
loop_
_space_group_symop_operation_xyz
'x,y,z'
loop_
_atom_site_label
_atom_site_fract_x
_atom_site_fract_y
_atom_site_fract_z
Ga1 0.414 0.903 0.683
Ga2 0.586 0.597 0.183
Ga3 0.586 0.097 0.317
Ga4 0.414 0.403 0.817
Ga5 0.184 0.224 0.103
Ga6 0.816 0.276 0.603
Ga7 0.816 0.776 0.897
Ga8 0.184 0.724 0.397
Hg1 0.810 0.101 0.867
Hg2 0.190 0.399 0.367
Hg3 0.190 0.899 0.133
Hg4 0.810 0.601 0.633
Hg5 0.988 0.027 0.739
Hg6 0.012 0.473 0.239
Hg7 0.012 0.973 0.261
Hg8 0.988 0.527 0.761
Hg9 0.626 0.193 0.979
Hg10 0.374 0.307 0.479
Hg11 0.374 0.807 0.021
Hg12 0.626 0.693 0.521
Cl1 0.336 0.751 0.669
Cl2 0.664 0.749 0.169
Cl3 0.664 0.249 0.331
Cl4 0.336 0.251 0.831
Cl5 0.418 0.952 0.821
Cl6 0.582 0.548 0.321
Cl7 0.582 0.048 0.179
Cl8 0.418 0.452 0.679
Cl9 0.185 0.971 0.616
Cl10 0.815 0.529 0.116
Cl11 0.815 0.029 0.384
Cl12 0.185 0.471 0.884
Cl13 0.667 0.958 0.607
Cl14 0.333 0.542 0.107
Cl15 0.333 0.042 0.393
Cl16 0.667 0.458 0.893
Cl17 0.147 0.191 0.244
Cl18 0.853 0.309 0.744
Cl19 0.853 0.809 0.756
Cl20 0.147 0.691 0.256
Cl21 0.480 0.302 0.086
Cl22 0.520 0.198 0.586
Cl23 0.520 0.698 0.914
Cl24 0.480 0.802 0.414
Cl25 0.987 0.319 0.064
Cl26 0.013 0.181 0.564
Cl27 0.013 0.681 0.936
Cl28 0.987 0.819 0.436
Cl29 0.167 0.098 0.020
Cl30 0.833 0.402 0.520
Cl31 0.833 0.902 0.980
Cl32 0.167 0.598 0.480


# Ga3HgCl, single point on PBEsol structure, DFT SCAN
# energy = -24.905 eV per atom
# ΔE_f (raw) = 0.13 eV per atom
# magnetization = 0.00 μB/f.u.
data_Ga3HgCl
_cell_length_a 5.142
_cell_length_b 5.142
_cell_length_c 5.142
_cell_angle_alpha 90.00
_cell_angle_beta 90.00
_cell_angle_gamma 90.00
_space_group_name_H-M_alt 'P 1'
_space_group_IT_number 1
loop_
_space_group_symop_operation_xyz
'x,y,z'
loop_
_atom_site_label
_atom_site_fract_x
_atom_site_fract_y
_atom_site_fract_z
Hg1 0.000 0.000 0.000
Ga1 0.000 0.500 0.000
Ga2 0.000 0.000 0.500
Ga3 0.500 0.000 0.000
Cl1 0.500 0.500 0.500


# MgGaHgCl2, single point on PBEsol structure, DFT SCAN
# energy = -21.463 eV per atom
# ΔE_f (raw) = -0.37 eV per atom
# magnetization = 0.00 μB/f.u.
data_MgGaHgCl2
_cell_length_a 5.009
_cell_length_b 5.009
_cell_length_c 5.386
_cell_angle_alpha 90.00
_cell_angle_beta 90.00
_cell_angle_gamma 90.00
_space_group_name_H-M_alt 'P 1'
_space_group_IT_number 1
loop_
_space_group_symop_operation_xyz
'x,y,z'
loop_
_atom_site_label
_atom_site_fract_x
_atom_site_fract_y
_atom_site_fract_z
Mg1 0.000 0.000 0.500
Hg1 0.500 0.500 0.500
Ga1 0.000 0.000 0.000
Cl1 0.000 0.500 0.000
Cl2 0.500 0.000 0.000